VASP calculation (PBE-GGA) on crystalline PmAl7Ni5 at its relaxed geometry.

Cell and atoms, written as POSCAR:
```
PmAl7Ni5
1.0
-4.6569 1.6598 -0.8009
-4.3575 -2.6518 4.1819
-1.3267 5.4830 3.4182
Pm Al Ni
1 7 5
direct
0.0051 0.9949 0.9949 Pm
0.6536 0.3464 0.3464 Al
0.3429 0.6571 0.6571 Al
0.9841 0.3621 0.6697 Al
0.9841 0.6697 0.3621 Al
0.2725 0.2275 0.2275 Al
0.5107 0.7793 0.1994 Al
0.5107 0.1994 0.7793 Al
0.4991 0.0080 0.4899 Ni
0.0031 0.0080 0.4899 Ni
0.4991 0.4899 0.0080 Ni
0.0031 0.4899 0.0080 Ni
0.7321 0.7679 0.7679 Ni
```

Calculated values
The energy of formation comes out at -574 meV per atom. As for the total magnetization: 0.0 μB per cell.

=====

VASP calculation (PBE-GGA) on crystalline Hf2TaNbPt at its relaxed geometry.

Cell and atoms, written as POSCAR:
```
Hf2TaNbPt
1.0
-3.3056 3.6254 1.0960
-2.0465 -0.5754 -4.2689
-3.1130 -3.4293 1.9545
Nb Hf Pt Ta
1 2 1 1
direct
0.5000 0.5000 0.5000 Nb
0.0000 0.0000 0.5000 Hf
0.5000 0.0000 0.0000 Hf
0.0000 0.5000 0.0000 Pt
0.0000 0.0000 0.0000 Ta
```

Calculated values
The energy of formation comes out at 1149 meV per atom. As for the total magnetization: 1.1 μB per cell.